No. 1
Below is a relaxed YSnOsO6 crystal, with properties calculated at the PBE-GGA level.

It has space group P-31c (No. 163), with a = 5.3996 Å, b = 5.3996 Å, c = 9.0018 Å, α = 90.00°, β = 90.00° and γ = 120.00°. Symmetry generates all atoms from Y at (0.3333, 0.6667, 0.2500), Sn at (0.0000, 0.0000, 0.0000), Os at (0.3333, 0.6667, 0.7500) and O at (0.0378, 0.3523, 0.6255).

The value obtained for the formation energy without anion corrections is -1.754 eV/atom. The density of states at the Fermi level is 0.2785 states/eV/atom. The total magnetization comes out at 2.9 μB per formula unit.

No. 2
Below is a relaxed ZrSnOsO6 crystal, with properties calculated at the PBE-GGA level.

It has space group P-31c (No. 163), with a = 5.2103 Å, b = 5.2103 Å, c = 9.3963 Å, α = 90.00°, β = 90.00° and γ = 120.00°. Symmetry generates all atoms from Zr at (0.3333, 0.6667, 0.2500), Sn at (0.0000, 0.0000, 0.0000), Os at (0.3333, 0.6667, 0.7500) and O at (0.0144, 0.3453, 0.6274).

The value obtained for the formation energy without anion corrections is -1.797 eV/atom. The density of states at the Fermi level is 0.2764 states/eV/atom. The total magnetization comes out at 2.0 μB per formula unit.

No. 3
Below is a relaxed SrOs2O crystal, with properties calculated at the PBE-GGA level.

It has space group I4_1/amd (No. 141, origin choice 2), with a = 4.9388 Å, b = 4.9388 Å, c = 13.4498 Å, α = 90.00°, β = 90.00° and γ = 90.00°. Symmetry generates all atoms from Sr at (0.0000, 0.2500, 0.3750), Os at (0.0000, 0.0000, 0.0000) and O at (0.0000, 0.2500, 0.8750).

The value obtained for the formation energy without anion corrections is 0.353 eV/atom. The density of states at the Fermi level is 1.2332 states/eV/atom. The total magnetization comes out at 0.0 μB per formula unit.

No. 4
Below is a relaxed SrOsO3 crystal, with properties calculated at the PBE-GGA level.

It has space group P2_1/c (No. 14), with a = 6.7158 Å, b = 4.9237 Å, c = 11.0934 Å, α = 90.00°, β = 119.81° and γ = 90.00°. Symmetry generates all atoms from Sr at (0.1905, 0.2062, 0.1640), Os at (0.4170, 0.7061, 0.0133), O at (0.1822, 0.7337, 0.0549), O at (0.2946, 0.0664, 0.9109) and O at (0.4880, 0.6213, 0.8585).

The value obtained for the formation energy without anion corrections is -1.571 eV/atom. The density of states at the Fermi level is 0.0000 states/eV/atom. The total magnetization comes out at 0.0 μB per formula unit.

No. 5
Below is a relaxed Sr6OsO12 crystal, with properties calculated at the PBE-GGA level.

It has space group R-3 (No. 148, hexagonal axes), with a = 10.4989 Å, b = 10.4989 Å, c = 10.0500 Å, α = 90.00°, β = 90.00° and γ = 120.00°. Symmetry generates all atoms from Sr at (0.0668, 0.8036, 0.1506), Os at (0.0000, 0.0000, 0.5000), O at (0.0457, 0.8797, 0.3946) and O at (0.0611, 0.8162, 0.8986).

The value obtained for the formation energy without anion corrections is -1.936 eV/atom. The density of states at the Fermi level is 0.4633 states/eV/atom. The total magnetization comes out at 4.1 μB per formula unit.

No. 6
Below is a relaxed SrOsO3 crystal, with properties calculated at the PBE-GGA level.

It has space group Fd-3m (No. 227, origin choice 2), with a = 10.4394 Å, b = 10.4394 Å, c = 10.4394 Å, α = 90.00°, β = 90.00° and γ = 90.00°. Symmetry generates all atoms from Sr at (0.0000, 0.0000, 0.0000), Os at (0.0000, 0.0000, 0.5000) and O at (0.0737, 0.3750, 0.8750).

The value obtained for the formation energy without anion corrections is -1.515 eV/atom. The density of states at the Fermi level is 0.6437 states/eV/atom. The total magnetization comes out at 0.4 μB per formula unit.

No. 7
Below is a relaxed Sr2Os2O7 crystal, with properties calculated at the PBE-GGA level.

It has space group Imma (No. 74), with a = 7.3934 Å, b = 10.3890 Å, c = 7.7220 Å, α = 90.00°, β = 90.00° and γ = 90.00°. Symmetry generates all atoms from Sr at (0.0000, 0.0000, 0.0000), Sr at (0.2500, 0.2500, 0.2500), Os at (0.0000, 0.0000, 0.5000), Os at (0.2500, 0.2500, 0.7500), O at (0.0000, 0.0930, 0.2792), O at (0.0000, 0.2500, 0.8404) and O at (0.1949, 0.1176, 0.5733).

The value obtained for the polymorph energy (0 for the lowest one) is 0.000 eV/atom. The value obtained for the formation energy without anion corrections is -1.767 eV/atom. The density of states at the Fermi level is 0.3794 states/eV/atom. The total magnetization comes out at 0.5 μB per formula unit.

No. 8
Below is a relaxed SrOsO3 crystal, with properties calculated at the PBE-GGA level.

It has space group Pnma (No. 62), with a = 7.7346 Å, b = 9.0541 Å, c = 5.6349 Å, α = 90.00°, β = 90.00° and γ = 90.00°. Symmetry generates all atoms from Sr at (0.0000, 0.0000, 0.0000), Os at (0.1471, 0.2500, 0.4809), O at (0.0586, 0.2500, 0.7766) and O at (0.1977, 0.0772, 0.3388).

The value obtained for the formation energy without anion corrections is -1.601 eV/atom. The total magnetization comes out at 2.0 μB per formula unit.

No. 9
Below is a relaxed Sr2OsO4 crystal, with properties calculated at the PBE-GGA level.

It has space group P2_1/m (No. 11), with a = 6.3270 Å, b = 5.6804 Å, c = 6.8945 Å, α = 90.00°, β = 108.09° and γ = 90.00°. Symmetry generates all atoms from Sr at (0.1919, 0.2500, 0.0323), Sr at (0.2689, 0.2500, 0.5637), Os at (0.2656, 0.7500, 0.7924), O at (0.0110, 0.5324, 0.7457), O at (0.4380, 0.7500, 0.0658) and O at (0.4648, 0.7500, 0.6436).

The value obtained for the polymorph energy (0 for the lowest one) is 0.058 eV/atom. The value obtained for the formation energy without anion corrections is -1.783 eV/atom. The density of states at the Fermi level is 0.6717 states/eV/atom. The total magnetization comes out at 0.0 μB per formula unit.

No. 10
Below is a relaxed SrOsO3 crystal, with properties calculated at the PBE-GGA level.

It has space group C2/m (No. 12), with a = 13.0664 Å, b = 5.8127 Å, c = 4.2902 Å, α = 90.00°, β = 103.21° and γ = 90.00°. Symmetry generates all atoms from Sr at (0.1637, 0.0000, 0.2050), Os at (0.0634, 0.5000, 0.7273), O at (0.0000, 0.2843, 0.0000) and O at (0.1607, 0.2676, 0.6926).

The value obtained for the formation energy without anion corrections is -1.812 eV/atom. The total magnetization comes out at 0.0 μB per formula unit.

No. 11
Below is a relaxed SrOsO3 crystal, with properties calculated at the PBE-GGA level.

It has space group P6_3/mmc (No. 194), with a = 3.9653 Å, b = 3.9653 Å, c = 8.5561 Å, α = 90.00°, β = 90.00° and γ = 120.00°. Symmetry generates all atoms from Sr at (0.3333, 0.6667, 0.2500), Os at (0.0000, 0.0000, 0.0000), O at (0.0000, 0.0000, 0.2500) and O at (0.3333, 0.6667, 0.5439).

The value obtained for the formation energy without anion corrections is -1.044 eV/atom. The density of states at the Fermi level is 0.6767 states/eV/atom. The total magnetization comes out at 0.2 μB per formula unit.

No. 12
Below is a relaxed Sr2Os2O7 crystal, with properties calculated at the PBE-GGA level.

It has space group C2/m (No. 12), with a = 6.6528 Å, b = 10.6824 Å, c = 5.5667 Å, α = 90.00°, β = 100.71° and γ = 90.00°. Symmetry generates all atoms from Sr at (0.0000, 0.1864, 0.0000), Os at (0.2435, 0.0000, 0.6089), O at (0.0000, 0.5000, 0.5000), O at (0.0587, 0.0000, 0.3009) and O at (0.2101, 0.3507, 0.2203).

The value obtained for the polymorph energy (0 for the lowest one) is 0.150 eV/atom. The value obtained for the formation energy without anion corrections is -1.616 eV/atom. The density of states at the Fermi level is 0.3012 states/eV/atom. The total magnetization comes out at 1.7 μB per formula unit.

No. 13
Below is a relaxed Sr2OsO6 crystal, with properties calculated at the PBE-GGA level.

It has space group P4_2/mnm (No. 136), with a = 5.2759 Å, b = 5.2759 Å, c = 10.4886 Å, α = 90.00°, β = 90.00° and γ = 90.00°. Symmetry generates all atoms from Sr at (0.0000, 0.0000, 0.1682), Os at (0.0000, 0.0000, 0.5000), O at (0.1748, 0.1748, 0.3707) and O at (0.2499, 0.2499, 0.0000).

The value obtained for the polymorph energy (0 for the lowest one) is 0.046 eV/atom. The value obtained for the formation energy without anion corrections is -1.859 eV/atom. The total magnetization comes out at 0.0 μB per formula unit.

No. 14
Below is a relaxed SrOsO3 crystal, with properties calculated at the PBE-GGA level.

It has space group Pnma (No. 62), with a = 5.6137 Å, b = 7.9587 Å, c = 5.6431 Å, α = 90.00°, β = 90.00° and γ = 90.00°. Symmetry generates all atoms from Sr at (0.0284, 0.2500, 0.0053), Os at (0.0000, 0.0000, 0.5000), O at (0.0071, 0.7500, 0.4311) and O at (0.2178, 0.5355, 0.7821).

The value obtained for the formation energy without anion corrections is -1.683 eV/atom. The density of states at the Fermi level is 0.5383 states/eV/atom. The total magnetization comes out at 0.9 μB per formula unit.

No. 15
Below is a relaxed SrOs2O8 crystal, with properties calculated at the PBE-GGA level.

It has space group P4/mmm (No. 123), with a = 4.7804 Å, b = 4.7804 Å, c = 6.1172 Å, α = 90.00°, β = 90.00° and γ = 90.00°. Symmetry generates all atoms from Sr at (0.0000, 0.0000, 0.0000), Os at (0.0000, 0.5000, 0.5000) and O at (0.2508, 0.2508, 0.3140).

The value obtained for the formation energy without anion corrections is -0.825 eV/atom. The density of states at the Fermi level is 0.6306 states/eV/atom. The total magnetization comes out at 0.4 μB per formula unit.

No. 16
Below is a relaxed SrOsO6 crystal, with properties calculated at the PBE-GGA level.

It has space group Fm-3m (No. 225), with a = 8.7179 Å, b = 8.7179 Å, c = 8.7179 Å, α = 90.00°, β = 90.00° and γ = 90.00°. Symmetry generates all atoms from Sr at (0.0000, 0.0000, 0.0000), Os at (0.0000, 0.0000, 0.5000) and O at (0.0000, 0.0000, 0.2880).

The value obtained for the formation energy without anion corrections is -1.031 eV/atom. The density of states at the Fermi level is 0.7620 states/eV/atom. The total magnetization comes out at 2.0 μB per formula unit.

No. 17
Below is a relaxed SrOsO3 crystal, with properties calculated at the PBE-GGA level.

It has space group C2/m (No. 12), with a = 13.7952 Å, b = 3.2648 Å, c = 6.4987 Å, α = 90.00°, β = 96.76° and γ = 90.00°. Symmetry generates all atoms from Sr at (0.1444, 0.0000, 0.1166), Os at (0.0765, 0.5000, 0.6150), O at (0.0262, 0.0000, 0.7667), O at (0.1366, 0.0000, 0.5031) and O at (0.1753, 0.5000, 0.8701).

The value obtained for the formation energy without anion corrections is -1.434 eV/atom. The density of states at the Fermi level is 0.6394 states/eV/atom. The total magnetization comes out at 0.7 μB per formula unit.

No. 18
Below is a relaxed Sr3OsO7 crystal, with properties calculated at the PBE-GGA level.

It has space group Cm (No. 8), with a = 8.1159 Å, b = 7.7990 Å, c = 6.2615 Å, α = 90.00°, β = 118.71° and γ = 90.00°. Symmetry generates all atoms from Sr at (0.0000, 0.0000, 0.0000), Sr at (0.4904, 0.2268, 0.4722), Os at (0.4984, 0.0000, 0.9792), O at (0.0275, 0.0000, 0.3776), O at (0.1443, 0.5000, 0.8175), O at (0.1498, 0.3322, 0.2038), O at (0.3425, 0.0000, 0.1304) and O at (0.3546, 0.1787, 0.7701).

The value obtained for the formation energy without anion corrections is -1.981 eV/atom. The density of states at the Fermi level is 0.0339 states/eV/atom. The total magnetization comes out at 0.0 μB per formula unit.